# 1
A plane-wave DFT calculation with PBE was carried out for an optimized crystal structure of Hf2Pt.

Cell: 6.019 6.019 4.134 Å, 90.00 90.00 90.00°
Space group P4_2/mnm (No. 136)
Asymmetric unit:
1 Hf 0.196 0.196 0.000 [4 per cell]
2 Pt 0.000 0.000 0.500 [2 per cell]

Results
**Formation enthalpy at 0 K**: -0.17 eV/atom
**Crystal system**: tetragonal

# 2
A plane-wave DFT calculation with PBE was carried out for an optimized crystal structure of Hf3Pt.

Cell: 3.204 9.725 5.300 Å, 90.00 90.00 90.00°
Space group Imm2 (No. 44)
Asymmetric unit:
1 Hf 0.000 0.000 0.000 [2 per cell]
2 Hf 0.000 0.216 0.577 [4 per cell]
3 Pt 0.000 0.500 0.916 [2 per cell]

Results
**Formation enthalpy at 0 K**: -0.50 eV/atom
**Crystal system**: orthorhombic

# 3
A plane-wave DFT calculation with PBE was carried out for an optimized crystal structure of Hf2Pt3.

Cell: 9.190 3.997 6.513 Å, 90.00 132.45 90.00°
Space group C2/m (No. 12)
Asymmetric unit:
1 Hf 0.071 0.000 0.289 [4 per cell]
2 Pt 0.000 0.500 0.500 [2 per cell]
3 Pt 0.200 0.500 0.124 [4 per cell]

Results
**Formation enthalpy at 0 K**: -1.05 eV/atom
**Crystal system**: monoclinic

# 4
A plane-wave DFT calculation with PBE was carried out for an optimized crystal structure of Hf3Pt.

Cell: 10.836 10.836 5.606 Å, 90.00 90.00 90.00°
Space group P4_2/nbc (No. 133, origin choice 2)
Asymmetric unit:
1 Hf 0.041 0.041 0.250 [8 per cell]
2 Hf 0.098 0.750 0.000 [8 per cell]
3 Hf 0.154 0.154 0.750 [8 per cell]
4 Pt 0.047 0.750 0.500 [8 per cell]

Results
**Formation enthalpy at 0 K**: -0.59 eV/atom
**Crystal system**: tetragonal

# 5
A plane-wave DFT calculation with PBE was carried out for an optimized crystal structure of Hf3Pt8.

Cell: 10.2567 10.2567 6.8291 Å, 90.00 90.00 120.00°
Space group R-3 (No. 148, hexagonal axes)
Asymmetric unit:
1 Hf 0.0000 0.5000 0.0000 [9 per cell]
2 Pt 0.0000 0.0000 0.3020 [6 per cell]
3 Pt 0.0448 0.7758 0.9500 [18 per cell]

Results
**Formation enthalpy at 0 K**: -0.56 eV/atom
**Crystal system**: trigonal

# 6
A plane-wave DFT calculation with PBE was carried out for an optimized crystal structure of Hf3Pt.

Cell: 5.9829 5.9829 5.1262 Å, 90.00 90.00 120.00°
Space group P6_3/mmc (No. 194)
Asymmetric unit:
1 Hf 0.1715 0.3429 0.2500 [6 per cell]
2 Pt 0.3333 0.6667 0.7500 [2 per cell]

Results
**Formation enthalpy at 0 K**: -0.40 eV/atom
**Crystal system**: hexagonal

# 7
A plane-wave DFT calculation with PBE was carried out for an optimized crystal structure of HfPt4.

Cell: 4.838 4.838 4.838 Å, 90.00 90.00 90.00°
Space group Pm-3m (No. 221)
Asymmetric unit:
1 Hf 0.000 0.000 0.000 [1 per cell]
2 Pt 0.000 0.000 0.500 [3 per cell]
3 Pt 0.500 0.500 0.500 [1 per cell]

Results
**Formation enthalpy at 0 K**: 0.96 eV/atom
**Crystal system**: cubic

# 8
A plane-wave DFT calculation with PBE was carried out for an optimized crystal structure of Hf3Pt.

Cell: 4.095 4.095 9.472 Å, 90.00 90.00 90.00°
Space group I4/mmm (No. 139)
Asymmetric unit:
1 Hf 0.000 0.000 0.000 [2 per cell]
2 Hf 0.000 0.500 0.250 [4 per cell]
3 Pt 0.000 0.000 0.500 [2 per cell]

Results
**Formation enthalpy at 0 K**: -0.42 eV/atom
**Crystal system**: tetragonal

# 9
A plane-wave DFT calculation with PBE was carried out for an optimized crystal structure of PuHfPt4.

Cell: 7.604 7.604 7.604 Å, 90.00 90.00 90.00°
Space group F-43m (No. 216)
Asymmetric unit:
1 Pu 0.000 0.000 0.000 [4 per cell]
2 Hf 0.250 0.250 0.250 [4 per cell]
3 Pt 0.125 0.125 0.625 [16 per cell]

Results
**Formation enthalpy at 0 K**: -0.77 eV/atom
**Crystal system**: cubic

# 10
A plane-wave DFT calculation with PBE was carried out for an optimized crystal structure of Pu2HfPt.

Cell: 4.031 4.031 5.205 Å, 90.00 90.00 90.00°
Space group P4/mmm (No. 123)
Asymmetric unit:
1 Pu 0.000 0.500 0.000 [2 per cell]
2 Hf 0.000 0.000 0.500 [1 per cell]
3 Pt 0.500 0.500 0.500 [1 per cell]

Results
**Formation enthalpy at 0 K**: -0.32 eV/atom
**Crystal system**: tetragonal

# 11
A plane-wave DFT calculation with PBE was carried out for an optimized crystal structure of PuHf2Pt9.

Cell: 4.068 4.068 12.272 Å, 90.00 90.00 90.00°
Space group P4/mmm (No. 123)
Asymmetric unit:
1 Pu 0.000 0.000 0.000 [1 per cell]
2 Hf 0.000 0.000 0.336 [2 per cell]
3 Pt 0.000 0.500 0.177 [4 per cell]
4 Pt 0.000 0.500 0.500 [2 per cell]
5 Pt 0.500 0.500 0.000 [1 per cell]
6 Pt 0.500 0.500 0.339 [2 per cell]

Results
**Formation enthalpy at 0 K**: -0.97 eV/atom
**Crystal system**: tetragonal

# 12
A plane-wave DFT calculation with PBE was carried out for an optimized crystal structure of PuHfPt6.

Cell: 4.085 4.085 8.244 Å, 90.00 90.00 90.00°
Space group P4/mmm (No. 123)
Asymmetric unit:
1 Pu 0.000 0.000 0.000 [1 per cell]
2 Hf 0.000 0.000 0.500 [1 per cell]
3 Pt 0.000 0.500 0.262 [4 per cell]
4 Pt 0.500 0.500 0.000 [1 per cell]
5 Pt 0.500 0.500 0.500 [1 per cell]

Results
**Formation enthalpy at 0 K**: -0.89 eV/atom
**Crystal system**: tetragonal

# 13
A plane-wave DFT calculation with PBE was carried out for an optimized crystal structure of PuHfRuPt.

Cell: 6.732 6.732 6.732 Å, 90.00 90.00 90.00°
Space group F-43m (No. 216)
Asymmetric unit:
1 Pu 0.000 0.000 0.000 [4 per cell]
2 Hf 0.000 0.000 0.500 [4 per cell]
3 Ru 0.250 0.250 0.250 [4 per cell]
4 Pt 0.250 0.250 0.750 [4 per cell]

Results
**Formation enthalpy at 0 K**: -0.53 eV/atom
**Crystal system**: cubic

# 14
A plane-wave DFT calculation with PBE was carried out for an optimized crystal structure of PuHfTiPt.

Cell: 6.712 6.712 6.712 Å, 90.00 90.00 90.00°
Space group F-43m (No. 216)
Asymmetric unit:
1 Pu 0.000 0.000 0.000 [4 per cell]
2 Hf 0.250 0.250 0.250 [4 per cell]
3 Ti 0.250 0.250 0.750 [4 per cell]
4 Pt 0.000 0.000 0.500 [4 per cell]

Results
**Formation enthalpy at 0 K**: -0.24 eV/atom
**Crystal system**: cubic

# 15
A plane-wave DFT calculation with PBE was carried out for an optimized crystal structure of PuHfZrPt.

Cell: 6.859 6.859 6.859 Å, 90.00 90.00 90.00°
Space group F-43m (No. 216)
Asymmetric unit:
1 Pu 0.000 0.000 0.000 [4 per cell]
2 Hf 0.250 0.250 0.750 [4 per cell]
3 Zr 0.250 0.250 0.250 [4 per cell]
4 Pt 0.000 0.000 0.500 [4 per cell]

Results
**Formation enthalpy at 0 K**: -0.24 eV/atom
**Crystal system**: cubic

# 16
A plane-wave DFT calculation with PBE was carried out for an optimized crystal structure of Rb3HfPt.

Cell: 6.407 6.407 6.407 Å, 90.00 90.00 90.00°
Space group Pm-3m (No. 221)
Asymmetric unit:
1 Rb 0.000 0.000 0.500 [3 per cell]
2 Hf 0.500 0.500 0.500 [1 per cell]
3 Pt 0.000 0.000 0.000 [1 per cell]

Results
**Relative energy among the computed polymorphs**: 0 meV/atom
**Formation enthalpy at 0 K**: 1.10 eV/atom
**Crystal system**: cubic

# 17
A plane-wave DFT calculation with PBE was carried out for an optimized crystal structure of Rb2HfPt.

Cell: 8.110 8.110 8.110 Å, 90.00 90.00 90.00°
Space group Fm-3m (No. 225)
Asymmetric unit:
1 Rb 0.250 0.250 0.250 [8 per cell]
2 Hf 0.000 0.000 0.000 [4 per cell]
3 Pt 0.000 0.000 0.500 [4 per cell]

Results
**Relative energy among the computed polymorphs**: 839 meV/atom
**Formation enthalpy at 0 K**: 1.36 eV/atom
**Crystal system**: cubic

# 18
A plane-wave DFT calculation with PBE was carried out for an optimized crystal structure of RbHfPt3.

Cell: 4.965 4.965 4.965 Å, 90.00 90.00 90.00°
Space group Pm-3m (No. 221)
Asymmetric unit:
1 Rb 0.000 0.000 0.000 [1 per cell]
2 Hf 0.500 0.500 0.500 [1 per cell]
3 Pt 0.000 0.000 0.500 [3 per cell]

Results
**Relative energy among the computed polymorphs**: 1783 meV/atom
**Formation enthalpy at 0 K**: 1.99 eV/atom
**Crystal system**: cubic

# 19
A plane-wave DFT calculation with PBE was carried out for an optimized crystal structure of RbHf2Pt.

Cell: 6.962 6.962 6.962 Å, 90.00 90.00 90.00°
Space group Fm-3m (No. 225)
Asymmetric unit:
1 Rb 0.000 0.000 0.000 [4 per cell]
2 Hf 0.250 0.250 0.250 [8 per cell]
3 Pt 0.000 0.000 0.500 [4 per cell]

Results
**Relative energy among the computed polymorphs**: 0 meV/atom
**Formation enthalpy at 0 K**: 0.56 eV/atom
**Crystal system**: cubic

# 20
A plane-wave DFT calculation with PBE was carried out for an optimized crystal structure of RbHfPt3.

Cell: 5.110 5.110 5.110 Å, 90.00 90.00 90.00°
Space group Pm-3m (No. 221)
Asymmetric unit:
1 Rb 0.000 0.000 0.000 [1 per cell]
2 Hf 0.500 0.500 0.500 [1 per cell]
3 Pt 0.000 0.500 0.500 [3 per cell]

Results
**Relative energy among the computed polymorphs**: 0 meV/atom
**Formation enthalpy at 0 K**: 0.21 eV/atom
**Crystal system**: cubic

# 21
A plane-wave DFT calculation with PBE was carried out for an optimized crystal structure of RbHf2Pt.

Cell: 5.900 5.900 17.351 Å, 90.00 90.00 90.00°
Space group I-42d (No. 122)
Asymmetric unit:
1 Rb 0.000 0.000 0.000 [4 per cell]
2 Hf 0.001 0.250 0.625 [8 per cell]
3 Pt 0.000 0.000 0.500 [4 per cell]

Results
**Relative energy among the computed polymorphs**: 170 meV/atom
**Formation enthalpy at 0 K**: 0.73 eV/atom
**Crystal system**: tetragonal

# 22
A plane-wave DFT calculation with PBE was carried out for an optimized crystal structure of Rb2HfPt.

Cell: 12.805 12.805 4.982 Å, 90.00 90.00 90.00°
Space group I-42d (No. 122)
Asymmetric unit:
1 Rb 0.094 0.750 0.125 [8 per cell]
2 Hf 0.000 0.000 0.500 [4 per cell]
3 Pt 0.000 0.000 0.000 [4 per cell]

Results
**Relative energy among the computed polymorphs**: 0 meV/atom
**Formation enthalpy at 0 K**: 0.52 eV/atom
**Crystal system**: tetragonal

# 23
A plane-wave DFT calculation with PBE was carried out for an optimized crystal structure of Rb2HfScPt.

Cell: 6.049 6.049 5.114 Å, 90.00 90.00 90.00°
Space group P4/mmm (No. 123)
Asymmetric unit:
1 Rb 0.000 0.500 0.000 [2 per cell]
2 Hf 0.000 0.000 0.500 [1 per cell]
3 Sc 0.000 0.000 0.000 [1 per cell]
4 Pt 0.500 0.500 0.500 [1 per cell]

Results
**Formation enthalpy at 0 K**: 1.60 eV/atom
**Crystal system**: tetragonal

# 24
A plane-wave DFT calculation with PBE was carried out for an optimized crystal structure of RbY2HfPt.

Cell: 5.281 5.281 5.119 Å, 90.00 90.00 90.00°
Space group P4/mmm (No. 123)
Asymmetric unit:
1 Rb 0.000 0.000 0.000 [1 per cell]
2 Y 0.000 0.500 0.000 [2 per cell]
3 Hf 0.500 0.500 0.500 [1 per cell]
4 Pt 0.000 0.000 0.500 [1 per cell]

Results
**Formation enthalpy at 0 K**: 1.51 eV/atom
**Crystal system**: tetragonal

# 25
A plane-wave DFT calculation with PBE was carried out for an optimized crystal structure of HfRe2Pt.

Cell: 6.409 6.409 6.409 Å, 90.00 90.00 90.00°
Space group Fm-3m (No. 225)
Asymmetric unit:
1 Hf 0.000 0.000 0.000 [4 per cell]
2 Re 0.250 0.250 0.250 [8 per cell]
3 Pt 0.000 0.000 0.500 [4 per cell]

Results
**Relative energy among the computed polymorphs**: 0 meV/atom
**Formation enthalpy at 0 K**: 0.18 eV/atom
**Crystal system**: cubic

# 26
A plane-wave DFT calculation with PBE was carried out for an optimized crystal structure of Hf2RePt.

Cell: 3.330 3.330 6.458 Å, 90.00 90.00 90.00°
Space group P4/mmm (No. 123)
Asymmetric unit:
1 Hf 0.000 0.000 0.242 [2 per cell]
2 Re 0.500 0.500 0.000 [1 per cell]
3 Pt 0.500 0.500 0.500 [1 per cell]

Results
**Formation enthalpy at 0 K**: -0.77 eV/atom
**Crystal system**: tetragonal